# TlZn2Ru, optimized geometry, DFT GGA-PBE
# **Calculated volume**: 16.40 Å³ per atom
# **Offset from the most stable computed form**: 12 meV per atom
# **ΔH_f (0 K)**: 0.20 eV per atom
data_TlZn2Ru
_chemical_formula_sum 'Tl2 Zn4 Ru2'
_space_group_name_H-M_alt 'I m m 2'
_space_group_IT_number 44
_cell_length_a 3.824
_cell_length_b 3.956
_cell_length_c 8.669
_cell_angle_alpha 90.00
_cell_angle_beta 90.00
_cell_angle_gamma 90.00
loop_
_space_group_symop_operation_xyz
'x,y,z'
'-x,-y,z'
'-x,y,z'
'x,-y,z'
'x+1/2,y+1/2,z+1/2'
'-x+1/2,-y+1/2,z+1/2'
'-x+1/2,y+1/2,z+1/2'
'x+1/2,-y+1/2,z+1/2'
loop_
_atom_site_label
_atom_site_type_symbol
_atom_site_fract_x
_atom_site_fract_y
_atom_site_fract_z
Tl1 Tl 0.000 0.000 0.000
Zn1 Zn 0.000 0.000 0.503
Zn2 Zn 0.000 0.500 0.753
Ru1 Ru 0.000 0.500 0.248